# ScPbI2N

An optimized crystal structure of ScPbI2N (PBE, Alexandria).

Structure (POSCAR):
```
ScPbI2N
1.0
6.314 0.000 0.000
0.000 6.314 0.000
0.000 0.000 4.115
Sc Pb I N
1 1 2 1
Cartesian
0.000 0.000 0.000 Sc
3.157 3.157 2.058 Pb
0.000 3.157 2.058 I
3.157 0.000 2.058 I
3.157 3.157 0.000 N
```

## Properties
- excess energy over the best structure of this formula in the dataset (eV/atom) = 0.914
- total moment (μB per formula unit) = 1.1
- uncorrected energy (eV for the cell shown) = -18.2

***

# GdSnPd2

An optimized crystal structure of GdSnPd2 (PBE, Alexandria).

Structure (POSCAR):
```
GdSnPd2
1.0
0.000 3.420 3.420
3.420 0.000 3.420
3.420 3.420 0.000
Gd Sn Pd
1 1 2
Cartesian
0.000 0.000 0.000 Gd
3.420 3.420 3.420 Sn
1.710 1.710 1.710 Pd
5.129 5.129 5.129 Pd
```

## Properties
- formation enthalpy at 0 K (eV/atom) = -0.8295
- total moment (μB per formula unit) = 7.1
- uncorrected energy (eV for the cell shown) = -31.8

***

# Tm5Sn2C2

An optimized crystal structure of Tm5Sn2C2 (PBE, Alexandria).

Structure (POSCAR):
```
Tm5Sn2C2
1.0
-9.847 3.371 3.306
9.847 -3.371 3.306
9.847 3.371 -3.306
Tm Sn C
10 4 4
Cartesian
4.924 2.580 -0.939 Tm
0.038 1.688 0.000 Tm
9.809 1.688 0.000 Tm
4.924 0.791 2.367 Tm
-2.730 3.280 1.700 Tm
2.730 -0.090 5.006 Tm
0.038 1.683 3.306 Tm
9.809 1.683 3.306 Tm
2.730 3.461 1.700 Tm
7.117 3.461 1.700 Tm
2.117 -0.050 1.634 Sn
7.731 -0.050 1.634 Sn
7.731 3.421 -1.673 Sn
11.964 0.050 1.634 Sn
4.924 2.849 1.367 C
0.000 3.371 1.651 C
0.000 0.000 4.957 C
4.924 0.522 4.673 C
```

## Properties
- formation enthalpy at 0 K (eV/atom) = -0.4472
- total moment (μB per formula unit) = 0.0
- uncorrected energy (eV for the cell shown) = -105.7

***

# MnZn3Pd

An optimized crystal structure of MnZn3Pd (PBE, Alexandria).

Structure (POSCAR):
```
MnZn3Pd
1.0
4.755 0.000 0.000
0.000 4.755 0.000
0.000 0.000 4.755
Mn Zn Pd
1 3 1
Cartesian
0.000 0.000 0.000 Mn
0.000 2.377 2.377 Zn
2.377 0.000 2.377 Zn
2.377 2.377 0.000 Zn
2.377 2.377 2.377 Pd
```

## Properties
- excess energy over the best structure of this formula in the dataset (eV/atom) = 0.000
- formation enthalpy at 0 K (eV/atom) = 0.4316
- total moment (μB per formula unit) = 4.7
- uncorrected energy (eV for the cell shown) = -16.0

***

# PaCr3P3

An optimized crystal structure of PaCr3P3 (PBE, Alexandria).

Structure (POSCAR):
```
PaCr3P3
1.0
6.250 0.000 0.000
0.000 6.250 0.000
0.000 0.000 6.250
Pa Cr P
2 6 6
Cartesian
0.000 0.000 0.000 Pa
3.125 3.125 3.125 Pa
0.000 1.562 3.125 Cr
0.000 4.687 3.125 Cr
1.562 3.125 0.000 Cr
3.125 0.000 1.562 Cr
3.125 0.000 4.687 Cr
4.687 3.125 0.000 Cr
0.000 3.125 1.562 P
0.000 3.125 4.687 P
1.562 0.000 3.125 P
3.125 1.562 0.000 P
3.125 4.687 0.000 P
4.687 0.000 3.125 P
```

## Properties
- formation enthalpy at 0 K (eV/atom) = -0.0052
- total moment (μB per formula unit) = 5.1
- uncorrected energy (eV for the cell shown) = -109.3

***

# PmY3Sc2Se6

An optimized crystal structure of PmY3Sc2Se6 (PBE, Alexandria).

Structure (POSCAR):
```
PmY3Sc2Se6
1.0
3.495 -6.073 0.000
3.495 6.073 0.000
-2.333 0.000 6.588
Pm Y Sc Se
1 3 2 6
Cartesian
0.000 0.000 0.000 Pm
2.328 4.166 3.294 Y
2.328 0.000 3.294 Y
2.328 -4.166 3.294 Y
3.495 1.990 0.000 Sc
3.495 -1.990 0.000 Sc
1.219 2.130 1.611 Se
0.109 0.000 5.023 Se
1.219 -2.130 1.611 Se
3.438 2.130 4.977 Se
4.547 0.000 1.566 Se
3.438 -2.130 4.977 Se
```

## Properties
- total moment (μB per formula unit) = 0.0
- uncorrected energy (eV for the cell shown) = -78.2

***

# CuPtBr2

An optimized crystal structure of CuPtBr2 (PBE, Alexandria).

Structure (POSCAR):
```
CuPtBr2
1.0
0.000 3.385 3.385
3.385 0.000 3.385
3.385 3.385 0.000
Cu Pt Br
1 1 2
Cartesian
0.000 0.000 0.000 Cu
1.693 1.693 1.693 Pt
3.385 3.385 3.385 Br
5.078 5.078 5.078 Br
```

## Properties
- excess energy over the best structure of this formula in the dataset (eV/atom) = 0.766
- total moment (μB per formula unit) = 0.0
- uncorrected energy (eV for the cell shown) = -10.2

***

# Ac3CeSm3Te8

An optimized crystal structure of Ac3CeSm3Te8 (PBE, Alexandria).

Structure (POSCAR):
```
Ac3CeSm3Te8
1.0
7.869 -4.531 0.000
7.869 4.531 0.000
-5.263 0.000 7.582
Ac Ce Sm Te
3 1 3 8
Cartesian
0.000 0.000 0.000 Ac
3.935 2.265 0.000 Ac
3.935 -2.265 0.000 Ac
-2.632 0.000 3.791 Ce
1.303 2.265 3.791 Sm
1.303 -2.265 3.791 Sm
5.237 0.000 3.791 Sm
0.077 0.000 5.609 Te
3.875 2.186 5.612 Te
2.618 0.000 2.035 Te
6.600 2.186 1.970 Te
3.875 -2.186 5.612 Te
7.857 0.000 5.547 Te
6.600 -2.186 1.970 Te
10.397 0.000 1.973 Te
```

## Properties
- total moment (μB per formula unit) = 1.5
- uncorrected energy (eV for the cell shown) = -79.3

***

# RbF3

An optimized crystal structure of RbF3 (PBE, Alexandria).

Structure (POSCAR):
```
RbF3
1.0
-2.022 2.022 4.310
2.022 -2.022 4.310
2.022 2.022 -4.310
Rb F
1 3
Cartesian
0.000 0.000 0.000 Rb
2.022 0.000 2.155 F
0.000 0.000 4.310 F
0.000 2.022 2.155 F
```

## Properties
- total moment (μB per formula unit) = 2.0
- uncorrected energy (eV for the cell shown) = -11.1

***

# Tl3SBr

An optimized crystal structure of Tl3SBr (PBE, Alexandria).

Structure (POSCAR):
```
Tl3SBr
1.0
6.029 0.000 0.000
0.000 6.029 0.000
0.000 0.000 6.029
Tl S Br
3 1 1
Cartesian
0.000 0.000 3.014 Tl
0.000 3.014 0.000 Tl
3.014 0.000 0.000 Tl
3.014 3.014 3.014 S
0.000 0.000 0.000 Br
```

## Properties
- excess energy over the best structure of this formula in the dataset (eV/atom) = 0.576
- total moment (μB per formula unit) = 0.0
- uncorrected energy (eV for the cell shown) = -12.6

***

# CaLu3

An optimized crystal structure of CaLu3 (PBE, Alexandria).

Structure (POSCAR):
```
CaLu3
1.0
-2.509 2.509 5.008
2.509 -2.509 5.008
2.509 2.509 -5.008
Ca Lu
1 3
Cartesian
0.000 0.000 0.000 Ca
2.509 0.000 2.504 Lu
0.000 0.000 5.008 Lu
0.000 2.509 2.504 Lu
```

## Properties
- formation enthalpy at 0 K (eV/atom) = 0.1710
- total moment (μB per formula unit) = 0.0
- uncorrected energy (eV for the cell shown) = -14.9

***

# Nd3Sm2In3

An optimized crystal structure of Nd3Sm2In3 (PBE, Alexandria).

Structure (POSCAR):
```
Nd3Sm2In3
1.0
-2.256 2.527 10.531
2.256 -2.527 10.531
2.256 2.527 -10.531
Nd Sm In
3 2 3
Cartesian
0.000 0.000 0.000 Nd
2.256 0.000 8.012 Nd
0.000 2.527 2.518 Nd
0.000 0.000 4.990 Sm
0.000 0.000 16.072 Sm
2.256 0.000 2.654 In
0.000 0.000 10.531 In
0.000 2.527 7.877 In
```

## Properties
- excess energy over the best structure of this formula in the dataset (eV/atom) = 0.000
- formation enthalpy at 0 K (eV/atom) = -0.3605
- total moment (μB per formula unit) = 0.0
- uncorrected energy (eV for the cell shown) = -34.8

***

# ErGeTe4

An optimized crystal structure of ErGeTe4 (PBE, Alexandria).

Structure (POSCAR):
```
ErGeTe4
1.0
5.146 -4.027 0.000
5.146 4.027 0.000
0.000 0.000 10.042
Er Ge Te
2 2 8
Cartesian
5.146 3.027 7.531 Er
5.146 -3.027 2.510 Er
5.146 0.646 2.510 Ge
5.146 -0.646 7.531 Ge
5.146 2.562 0.603 Te
5.146 2.562 4.418 Te
2.980 0.797 7.531 Te
2.980 -0.797 2.510 Te
7.312 0.797 7.531 Te
7.312 -0.797 2.510 Te
5.146 -2.562 5.624 Te
5.146 -2.562 9.439 Te
```

## Properties
- total moment (μB per formula unit) = 0.0
- uncorrected energy (eV for the cell shown) = -48.6

***

# TiHRh2

An optimized crystal structure of TiHRh2 (PBE, Alexandria).

Structure (POSCAR):
```
TiHRh2
1.0
1.404 0.810 7.184
-1.404 0.810 7.184
0.000 -1.621 7.184
Ti H Rh
1 1 2
Cartesian
0.000 0.000 0.000 Ti
0.000 0.000 10.776 H
0.000 0.000 2.352 Rh
0.000 0.000 19.201 Rh
```

## Properties
- excess energy over the best structure of this formula in the dataset (eV/atom) = 0.417
- total moment (μB per formula unit) = 0.0
- uncorrected energy (eV for the cell shown) = -25.9

***

# Al2IrPb

An optimized crystal structure of Al2IrPb (PBE, Alexandria).

Structure (POSCAR):
```
Al2IrPb
1.0
1.543 0.891 9.352
-1.543 0.891 9.352
0.000 -1.782 9.352
Al Ir Pb
2 1 1
Cartesian
0.000 0.000 0.000 Al
0.000 0.000 7.106 Al
0.000 0.000 20.474 Ir
0.000 0.000 13.612 Pb
```

## Properties
- formation enthalpy at 0 K (eV/atom) = 0.0735
- total moment (μB per formula unit) = 0.0
- uncorrected energy (eV for the cell shown) = -19.8

***

# NdPIr3

An optimized crystal structure of NdPIr3 (PBE, Alexandria).

Structure (POSCAR):
```
NdPIr3
1.0
-2.026 2.026 5.312
2.026 -2.026 5.312
2.026 2.026 -5.312
Nd P Ir
1 1 3
Cartesian
0.000 0.000 0.000 Nd
0.000 0.000 6.660 P
2.026 0.000 2.572 Ir
0.000 0.000 4.398 Ir
0.000 2.026 2.572 Ir
```

## Properties
- formation enthalpy at 0 K (eV/atom) = -0.7393
- total moment (μB per formula unit) = 0.0
- uncorrected energy (eV for the cell shown) = -40.5

***

# BTe3Pt

An optimized crystal structure of BTe3Pt (PBE, Alexandria).

Structure (POSCAR):
```
BTe3Pt
1.0
5.329 0.000 0.000
0.000 5.329 0.000
0.000 0.000 5.329
B Te Pt
1 3 1
Cartesian
0.000 0.000 0.000 B
0.000 2.664 2.664 Te
2.664 0.000 2.664 Te
2.664 2.664 0.000 Te
2.664 2.664 2.664 Pt
```

## Properties
- excess energy over the best structure of this formula in the dataset (eV/atom) = 0.311
- total moment (μB per formula unit) = 0.0
- uncorrected energy (eV for the cell shown) = -16.0

***

# CaCu3Au

An optimized crystal structure of CaCu3Au (PBE, Alexandria).

Structure (POSCAR):
```
CaCu3Au
1.0
4.818 0.000 0.000
0.000 4.818 0.000
0.000 0.000 4.818
Ca Cu Au
1 3 1
Cartesian
0.000 0.000 0.000 Ca
0.000 2.409 2.409 Cu
2.409 0.000 2.409 Cu
2.409 2.409 0.000 Cu
2.409 2.409 2.409 Au
```

## Properties
- excess energy over the best structure of this formula in the dataset (eV/atom) = 0.000
- formation enthalpy at 0 K (eV/atom) = 0.2311
- total moment (μB per formula unit) = 0.0
- uncorrected energy (eV for the cell shown) = -16.4

***

# Tb7Pr6Dy16

An optimized crystal structure of Tb7Pr6Dy16 (PBE, Alexandria).

Structure (POSCAR):
```
Tb7Pr6Dy16
1.0
0.000 7.929 7.929
7.929 0.000 7.929
7.929 7.929 0.000
Tb Pr Dy
7 6 16
Cartesian
0.000 0.000 0.000 Tb
3.964 3.964 0.000 Tb
3.964 0.000 3.964 Tb
7.929 3.964 3.964 Tb
0.000 3.964 3.964 Tb
3.964 7.929 3.964 Tb
3.964 3.964 7.929 Tb
7.929 7.929 4.307 Pr
7.929 4.307 7.929 Pr
11.551 7.929 7.929 Pr
4.307 7.929 7.929 Pr
7.929 11.551 7.929 Pr
7.929 7.929 11.551 Pr
10.328 5.530 5.530 Dy
2.016 2.016 2.016 Dy
5.913 5.913 2.016 Dy
5.913 2.016 5.913 Dy
5.530 5.530 5.530 Dy
10.328 10.328 5.530 Dy
10.328 5.530 10.328 Dy
13.842 9.945 9.945 Dy
2.016 5.913 5.913 Dy
5.530 10.328 5.530 Dy
5.530 5.530 10.328 Dy
10.328 10.328 10.328 Dy
9.945 13.842 9.945 Dy
9.945 9.945 13.842 Dy
13.842 13.842 13.842 Dy
5.530 10.328 10.328 Dy
```

## Properties
- formation enthalpy at 0 K (eV/atom) = 0.2320
- total moment (μB per formula unit) = 0.0
- uncorrected energy (eV for the cell shown) = -128.0